[1]
8
Lattice="-4.185 4.185 3.319 4.185 -4.185 3.319 4.185 4.185 -3.319" Properties=species:S:1:pos:R:3 comment="InSbCl2 | the Alexandria database | PBE | relaxed" relative_energy_ev_per_fu=0.80 e_form_raw_ev_per_atom=-0.3013 total_energy_ev_per_atom=-2.940 pbc="T T T"
In 0.000 0.000 0.000
In 0.000 4.185 1.660
Sb 4.185 0.000 1.660
Sb 0.000 0.000 3.319
Cl 2.093 -1.740 2.489
Cl 2.445 2.093 0.830
Cl 2.093 5.926 -0.830
Cl 1.740 2.093 4.149

***

[2]
4
Lattice="1.771 -3.084 0.000 1.771 3.084 0.000 0.000 0.000 10.348" Properties=species:S:1:pos:R:3 comment="InSbCl2 | the Alexandria database | PBE | relaxed" relative_energy_ev_per_fu=0.69 e_form_raw_ev_per_atom=-0.3280 total_energy_ev_per_atom=-2.967 pbc="T T T"
In 0.000 0.000 0.000
Sb 1.771 0.000 2.877
Cl 0.000 0.000 4.925
Cl 1.771 0.000 8.418

***

[3]
10
Lattice="8.664 0.000 0.000 0.000 8.664 0.000 0.000 0.000 3.691" Properties=species:S:1:pos:R:3 comment="In2Sb2Cl | the Alexandria database | PBE | relaxed" relative_energy_ev_per_fu=0.94 e_form_raw_ev_per_atom=-0.0522 total_energy_ev_per_atom=-3.166 pbc="T T T"
In 1.301 3.031 0.000
In 3.031 7.363 0.000
In 5.633 1.301 0.000
In 7.363 5.633 0.000
Sb 1.290 5.622 1.846
Sb 3.042 1.290 1.846
Sb 5.622 7.374 1.846
Sb 7.374 3.042 1.846
Cl 0.000 0.000 1.846
Cl 4.332 4.332 1.846